Entry 1:
# ReSiIr2

ReSiIr2 after structural relaxation (PBE, Alexandria via LeMat-Bulk).

Properties
* E_form (uncorrected): -0.1096 eV per atom
* total magnetic moment: 0.0 μB per cell
* V: 14.19 A^3/atom
* calculated density: 17.5 g cm⁻³
* energy: -36.0 eV for the cell shown

Cell lengths 4.6709, 4.6709, 2.7561 Å; angles 89.99, 89.99, 109.24 degrees
Closest atoms and distances in Å follow each position.
Fractional coordinates of all 4 atoms:
Si (0.0000, 0.5000, 0.5000)  2 Re 2.70, 8 Ir 2.71, 2 Si 2.76
Re (0.5000, 0.0000, 0.5000)  2 Si 2.70, 8 Ir 2.71, 2 Re 2.76
Ir (0.5000, 0.5000, 0.0000)  4 Ir 2.70-2.76, 4 Si 2.71, 4 Re 2.71
Ir (0.0000, 0.0000, 0.0000)  4 Ir 2.70-2.76, 4 Re 2.71, 4 Si 2.71

---

Entry 2:
# Cs5O

Cs5O after structural relaxation (PBE, Alexandria via LeMat-Bulk).

Properties
* E_form (uncorrected): -0.3426 eV per atom
* total magnetic moment: 0.0 μB per cell
* V: 77.84 A^3/atom
* calculated density: 2.4 g cm⁻³
* energy: -11.3 eV for the cell shown

Cell lengths 6.4776, 4.2496, 17.0994 Å; angles 97.14, 90.00, 90.00 degrees
Closest atoms and distances in Å follow each position.
Fractional coordinates of all 6 atoms:
Cs (0.5000, 0.1761, 0.3522)  2 Cs 4.25
O (0.0000, 0.0000, 0.0000)  4 Cs 2.92
Cs (0.5000, 0.5000, 0.0000)  6 Cs 3.81-4.25, 4 O 3.87
Cs (0.0000, 0.5589, 0.1179)  2 O 2.92
Cs (0.5000, 0.8239, 0.6478)  2 Cs 4.25
Cs (0.0000, 0.4411, 0.8821)  2 O 2.92

---

Entry 3:
# SrTeS2N

SrTeS2N after structural relaxation (PBE, Alexandria via LeMat-Bulk).

Properties
* E_form (uncorrected): -0.1690 eV per atom
* total magnetic moment: 0.0 μB per cell
* V: 21.93 A^3/atom
* calculated density: 4.4 g cm⁻³
* energy above the most stable polymorph in this dataset: 0.00 eV per formula unit
* energy: -22.2 eV for the cell shown

Cell lengths 5.2075, 5.2075, 4.0438 Å; angles 90.00, 90.00, 90.00 degrees
Closest atoms and distances in Å follow each position.
Fractional coordinates of all 5 atoms:
Te (0.0000, 0.0000, 0.0000)  2 N 2.02
Sr (0.5000, 0.5000, 0.5000)  8 S 3.30, 4 N 3.68
S (0.0000, 0.5000, 0.0000)  2 Te 2.60
S (0.5000, 0.0000, 0.0000)  2 Te 2.60
N (0.0000, 0.0000, 0.5000)  2 Te 2.02

---

Entry 4:
# GaFe2Sb2

GaFe2Sb2 after structural relaxation (PBE, Alexandria via LeMat-Bulk).

Properties
* E_form (uncorrected): 0.1563 eV per atom
* total magnetic moment: 4.4 μB per cell
* V: 20.08 A^3/atom
* calculated density: 7.0 g cm⁻³
* energy above the most stable polymorph in this dataset: 0.00 eV per formula unit
* energy: -27.4 eV for the cell shown

Cell lengths 3.5140, 3.5140, 8.5034 Å; angles 78.08, 78.08, 90.00 degrees
Closest atoms and distances in Å follow each position.
Fractional coordinates of all 5 atoms:
Fe (0.2500, 0.7500, 0.5000)  4 Fe 2.48, 4 Sb 2.66
Sb (0.6273, 0.6273, 0.7453)  4 Fe 2.66
Ga (0.0000, 0.0000, 0.0000)  8 Sb 3.23, 4 Ga 3.51
Fe (0.7500, 0.2500, 0.5000)  4 Fe 2.48, 4 Sb 2.66
Sb (0.3727, 0.3727, 0.2547)  4 Fe 2.66

---

Entry 5:
# UTiNbPt

UTiNbPt after structural relaxation (PBE, Alexandria via LeMat-Bulk).

Properties
* total magnetic moment: 2.4 μB per cell
* V: 17.77 A^3/atom
* calculated density: 13.4 g cm⁻³
* E_form: -0.085 eV per atom
* energy: -35.6 eV for the cell shown

Cell lengths 4.6497, 4.6497, 4.6497 Å; angles 60.00, 60.00, 60.00 degrees
Closest atoms and distances in Å follow each position.
Fractional coordinates of all 4 atoms:
Nb (0.0000, 0.0000, 0.0000)  4 Pt 2.85, 4 U 2.85
Ti (0.5000, 0.5000, 0.5000)  4 U 2.85, 4 Pt 2.85
U (0.7500, 0.7500, 0.7500)  4 Ti 2.85, 4 Nb 2.85
Pt (0.2500, 0.2500, 0.2500)  4 Ti 2.85, 4 Nb 2.85

---

Entry 6:
# InReBi2

InReBi2 after structural relaxation (PBE, Alexandria via LeMat-Bulk).

Properties
* total magnetic moment: 0.7 μB per cell
* V: 26.14 A^3/atom
* calculated density: 11.4 g cm⁻³
* energy above the most stable polymorph in this dataset: 0.10 eV per formula unit
* E_form: 0.953 eV per atom
* energy: -19.1 eV for the cell shown

Cell lengths 3.1765, 3.1765, 12.1060 Å; angles 82.46, 82.46, 60.00 degrees
Closest atoms and distances in Å follow each position.
Fractional coordinates of all 4 atoms:
Bi (0.9223, 0.9223, 0.2331)  1 Re 2.79
Re (0.0000, 0.0000, 0.0000)  2 Bi 2.79
In (0.5000, 0.5000, 0.5000)  6 In 3.18
Bi (0.0777, 0.0777, 0.7669)  1 Re 2.79